(1)
# YBi2Pb, optimized geometry, DFT PBE
# size of the total moment = 0.0 μB per cell
# formation enthalpy at 0 K = -357.3 meV per atom
# calculated total energy = -38.727 eV per cell
data_YBi2Pb
_symmetry_space_group_name_H-M 'C m m m'
_symmetry_Int_Tables_number 65
_symmetry_space_group_name_Hall '-C 2 2'
_cell_length_a 6.899
_cell_length_b 8.393
_cell_length_c 4.203
_cell_angle_alpha 90.00
_cell_angle_beta 90.00
_cell_angle_gamma 90.00
loop_
_atom_site_label
_atom_site_fract_x
_atom_site_fract_y
_atom_site_fract_z
Y1 0.000 0.000 0.000
Bi1 0.250 0.250 0.500
Pb1 0.000 0.500 0.000

---

(2)
# Cs2KCeI6, optimized geometry, DFT PBE
# size of the total moment = 4.0 μB per cell
# polymorph energy (0 for the lowest one) = 9.4 meV/atom
# ΔE_f (raw) = -1.453 eV per atom
# calculated total energy = -130.275 eV per cell
data_Cs2KCeI6
_symmetry_space_group_name_H-M 'F m -3 m'
_symmetry_Int_Tables_number 225
_symmetry_space_group_name_Hall '-F 4 2 3'
_cell_length_a 13.028
_cell_length_b 13.028
_cell_length_c 13.028
_cell_angle_alpha 90.00
_cell_angle_beta 90.00
_cell_angle_gamma 90.00
loop_
_atom_site_label
_atom_site_fract_x
_atom_site_fract_y
_atom_site_fract_z
Cs1 0.250 0.250 0.250
K1 0.000 0.000 0.000
Ce1 0.000 0.000 0.500
I1 0.000 0.000 0.260

---

(3)
# Zn2Cu2Pd7, optimized geometry, DFT PBE
# size of the total moment = 0.0 μB per cell
# formation enthalpy at 0 K = -208.0 meV per atom
# calculated total energy = -98.757 eV per cell
data_Zn2Cu2Pd7
_symmetry_space_group_name_H-M 'C 1 2/m 1'
_symmetry_Int_Tables_number 12
_symmetry_space_group_name_Hall '-C 2y'
_cell_length_a 6.667
_cell_length_b 7.495
_cell_length_c 6.690
_cell_angle_alpha 90.00
_cell_angle_beta 103.94
_cell_angle_gamma 90.00
loop_
_atom_site_label
_atom_site_fract_x
_atom_site_fract_y
_atom_site_fract_z
Zn1 0.107 0.000 0.344
Cu1 0.000 0.185 0.000
Pd1 0.000 0.500 0.500
Pd2 0.158 0.500 0.916
Pd3 0.221 0.188 0.694

---

(4)
# LiTiGa4, optimized geometry, DFT PBE
# size of the total moment = 0.0 μB per cell
# formation enthalpy at 0 K = -30.6 meV per atom
# calculated total energy = -22.100 eV per cell
data_LiTiGa4
_symmetry_space_group_name_H-M 'P 4/m m m'
_symmetry_Int_Tables_number 123
_symmetry_space_group_name_Hall '-P 4 2'
_cell_length_a 4.051
_cell_length_b 4.051
_cell_length_c 6.604
_cell_angle_alpha 90.00
_cell_angle_beta 90.00
_cell_angle_gamma 90.00
loop_
_atom_site_label
_atom_site_fract_x
_atom_site_fract_y
_atom_site_fract_z
Li1 0.000 0.000 0.000
Ti1 0.500 0.500 0.500
Ga1 0.000 0.500 0.232

---

(5)
# Sr2HfS2O2, optimized geometry, DFT PBE
# size of the total moment = 0.0 μB per cell
# ΔE_f (raw) = -2.687 eV per atom
# calculated total energy = -100.595 eV per cell
data_Sr2HfS2O2
_symmetry_space_group_name_H-M 'I 4/m m m'
_symmetry_Int_Tables_number 139
_symmetry_space_group_name_Hall '-I 4 2'
_cell_length_a 4.192
_cell_length_b 4.192
_cell_length_c 15.440
_cell_angle_alpha 90.00
_cell_angle_beta 90.00
_cell_angle_gamma 90.00
loop_
_atom_site_label
_atom_site_fract_x
_atom_site_fract_y
_atom_site_fract_z
Sr1 0.000 0.000 0.134
Hf1 0.000 0.000 0.500
S1 0.000 0.000 0.333
O1 0.000 0.500 0.000

---

(6)
# SrZr2P2, optimized geometry, DFT PBE
# size of the total moment = 0.0 μB per cell
# polymorph energy (0 for the lowest one) = 0.0 meV/atom
# formation enthalpy at 0 K = -808.0 meV per atom
# calculated total energy = -67.275 eV per cell
data_SrZr2P2
_symmetry_space_group_name_H-M 'P 4/m b m'
_symmetry_Int_Tables_number 127
_symmetry_space_group_name_Hall '-P 4 2ab'
_cell_length_a 7.598
_cell_length_b 7.598
_cell_length_c 3.532
_cell_angle_alpha 90.00
_cell_angle_beta 90.00
_cell_angle_gamma 90.00
loop_
_atom_site_label
_atom_site_fract_x
_atom_site_fract_y
_atom_site_fract_z
Sr1 0.000 0.000 0.000
Zr1 0.146 0.354 0.500
P1 0.136 0.636 0.000

---

> Look up the calculated total energy of the fifth one.

-100.595 eV per cell

---

> The lowest calculated total energy belongs to which entry?

Cs2KCeI6

---

> Which of these has the lowest calculated total energy?

Cs2KCeI6